Entry 1:
Here is crystalline ZrCr2Tc at its relaxed geometry from Alexandria. Energies are from PBE.

Lattice parameters (Å, degrees): 2.7429 2.7429 8.4617 90.00 90.00 111.45
Fractional positions:
Cr 0.0000 0.0000 0.0313
Cr 0.5000 0.5000 0.2375
Tc 0.0000 0.0000 0.4733
Zr 0.5000 0.5000 0.7579

Values from the calculation:
ΔE to the lowest computed polymorph = 123 meV/atom
crystal system = orthorhombic
space-group type = Cmm2
energy of formation from the pure elements = 18.2 kJ/mol of atoms

Entry 2:
Here is crystalline PrSmDy2Ho at its relaxed geometry from Alexandria. Energies are from PBE.

Lattice parameters (Å, degrees): 7.1863 8.4391 7.1620 126.10 90.00 90.00
Fractional positions:
Pr 0.2500 0.7300 0.4601
Pr 0.7500 0.2700 0.5399
Sm 0.2500 0.9993 0.9985
Sm 0.7500 0.0007 0.0015
Dy 0.5000 0.3123 0.0000
Dy 0.0000 0.6877 0.0000
Dy 0.5000 0.6877 0.0000
Dy 0.0000 0.3123 0.0000
Ho 0.7500 0.7220 0.4440
Ho 0.2500 0.2780 0.5560

Values from the calculation:
crystal system = orthorhombic
space-group type = Cmcm
energy of formation from the pure elements = 36.8 kJ/mol of atoms

Entry 3:
Here is crystalline K2LiMn at its relaxed geometry from Alexandria. Energies are from PBE.

Lattice parameters (Å, degrees): 12.4203 12.4203 12.4203 17.69 17.69 17.69
Last column: magnetic moment on the atom in μB.
Fractional positions:
K 0.0030 0.0030 0.0030  -0.01
K 0.4970 0.4970 0.4970  -0.01
Li 0.2500 0.2500 0.2500  0.01
Mn 0.7500 0.7500 0.7500  4.28

Values from the calculation:
ΔE to the lowest computed polymorph = 190 meV/atom
crystal system = trigonal
space-group type = R-3m
energy of formation from the pure elements = 69.9 kJ/mol of atoms

Entry 4:
Here is crystalline Ac3Nd3YTe8 at its relaxed geometry from Alexandria. Energies are from PBE.

Lattice parameters (Å, degrees): 9.1068 9.1072 9.2558 119.47 90.00 120.00
Fractional positions:
Ac 0.0000 0.0000 0.0000
Ac 0.0000 0.5000 0.0000
Ac 0.5000 0.5000 0.0000
Nd 0.5000 0.0000 0.5000
Nd 0.5000 0.5000 0.5000
Nd 0.0000 0.5000 0.5000
Y 0.0000 0.0000 0.5000
Te 0.2548 0.5095 0.2643
Te 0.7452 0.4905 0.7357
Te 0.7555 0.5110 0.2647
Te 0.2445 0.4890 0.7353
Te 0.7555 0.0092 0.2647
Te 0.2445 0.9908 0.7353
Te 0.2537 0.0092 0.2647
Te 0.7463 0.9908 0.7353

Values from the calculation:
E_form (uncorrected) = -22.2 eV/f.u.
crystal system = trigonal
space-group type = R-3m

Entry 5:
Here is crystalline AcLa5Cd3 at its relaxed geometry from Alexandria. Energies are from PBE.

Lattice parameters (Å, degrees): 7.3460 9.7082 9.7060 120.01 90.00 90.00
Fractional positions:
Ac 0.0000 0.0000 0.0000
Ac 0.5000 0.0000 0.0000
La 0.0000 0.6667 0.3335
La 0.5000 0.3333 0.6665
La 0.0000 0.3333 0.6665
La 0.5000 0.6667 0.3335
La 0.7500 0.6608 0.6610
La 0.7500 0.9998 0.3390
La 0.7500 0.3390 0.0000
La 0.2500 0.3392 0.3390
La 0.2500 0.0002 0.6610
La 0.2500 0.6610 0.0000
Cd 0.7500 0.3322 0.3323
Cd 0.7500 0.9999 0.6677
Cd 0.7500 0.6675 0.0000
Cd 0.2500 0.6678 0.6677
Cd 0.2500 0.0001 0.3323
Cd 0.2500 0.3325 0.0000

Values from the calculation:
crystal system = hexagonal
space-group type = P6_3/mcm
energy of formation from the pure elements = -15.9 kJ/mol of atoms

Entry 6:
Here is crystalline Li2Pd5Pb2 at its relaxed geometry from Alexandria. Energies are from PBE.

Lattice parameters (Å, degrees): 6.6833 5.8428 9.0936 108.74 111.56 90.00
Fractional positions:
Li 0.1272 0.6062 0.1366
Li 0.8728 0.4696 0.8634
Li 0.5094 0.1062 0.1366
Li 0.4906 0.9696 0.8634
Pd 0.1397 0.6767 0.7785
Pd 0.8603 0.8982 0.2215
Pd 0.1388 0.1767 0.7785
Pd 0.8612 0.3982 0.2215
Pd 0.4106 0.9466 0.3196
Pd 0.5894 0.6271 0.6804
Pd 0.4090 0.4466 0.3196
Pd 0.5910 0.1271 0.6804
Pd 0.2047 0.7877 0.5000
Pd 0.7953 0.2877 0.5000
Pb 0.0000 0.0374 0.0000
Pb 0.5000 0.5374 0.0000
Pb 0.2066 0.2865 0.5000
Pb 0.7934 0.7865 0.5000

Values from the calculation:
crystal system = orthorhombic
space-group type = Ima2
energy of formation from the pure elements = -24.0 kJ/mol of atoms

Entry 7:
Here is crystalline LiAsSe at its relaxed geometry from Alexandria. Energies are from PBE.

Lattice parameters (Å, degrees): 6.1078 6.1078 6.1078 146.40 146.40 48.25
Fractional positions:
As 0.0525 0.0525 0.0000
Li 0.6873 0.6873 0.0000
Se 0.2602 0.2602 0.0000

Values from the calculation:
ΔE to the lowest computed polymorph = 209 meV/atom
E_form (uncorrected) = -1.1 eV/f.u.
crystal system = tetragonal
space-group type = I4mm

Entry 8:
Here is crystalline HfBTeN2 at its relaxed geometry from Alexandria. Energies are from PBE.

Lattice parameters (Å, degrees): 4.0146 4.0146 6.1235 90.00 90.00 90.00
Last column: magnetic moment on the atom in μB.
Fractional positions:
B 0.5000 0.5000 0.5000  0.00
Te 0.0000 0.0000 0.5000  0.00
Hf 0.0000 0.0000 0.0000  -0.02
N 0.0000 0.5000 0.0000  0.06
N 0.5000 0.0000 0.0000  0.06

Values from the calculation:
ΔE to the lowest computed polymorph = 0 meV/atom
E_form (uncorrected) = 5.3 eV/f.u.
crystal system = tetragonal
space-group type = P4/mmm

Entry 9:
Here is crystalline Pm4Sm5Y3 at its relaxed geometry from Alexandria. Energies are from PBE.

Lattice parameters (Å, degrees): 5.9784 8.7037 9.7979 105.78 72.24 69.91
Last column: magnetic moment on the atom in μB.
Fractional positions:
Pm 0.8614 0.2217 0.0555  0.00
Pm 0.1630 0.0534 0.6207  0.00
Pm 0.8370 0.9466 0.3793  0.00
Pm 0.1386 0.7783 0.9445  0.00
Sm 0.6278 0.9452 0.7991  0.00
Sm 0.5000 0.5000 0.5000  0.06
Sm 0.2158 0.4565 0.1119  0.00
Sm 0.7842 0.5435 0.8881  0.00
Sm 0.3722 0.0548 0.2009  0.00
Y 0.5202 0.6889 0.2708  0.00
Y 0.0000 0.5000 0.5000  0.07
Y 0.4798 0.3111 0.7292  0.00

Values from the calculation:
crystal system = monoclinic
space-group type = C2/m
energy of formation from the pure elements = 21.3 kJ/mol of atoms

Entry 10:
Here is crystalline CaPr8Tm4 at its relaxed geometry from Alexandria. Energies are from PBE.

Lattice parameters (Å, degrees): 5.1803 6.3230 16.6943 107.93 81.07 65.82
Fractional positions:
Ca 0.0000 0.0000 0.0000
Pr 0.4542 0.7802 0.3114
Pr 0.5458 0.2198 0.6886
Pr 0.6131 0.6936 0.0802
Pr 0.3869 0.3064 0.9198
Pr 0.9273 0.5316 0.6138
Pr 0.0727 0.4684 0.3862
Pr 0.8408 0.0839 0.2345
Pr 0.1592 0.9161 0.7655
Tm 0.3119 0.8396 0.5366
Tm 0.6881 0.1604 0.4634
Tm 0.7807 0.5979 0.8407
Tm 0.2193 0.4021 0.1593

Values from the calculation:
crystal system = monoclinic
space-group type = C2/m
energy of formation from the pure elements = 4.0 kJ/mol of atoms

Entry 11:
Here is crystalline Cd2Ni21P6 at its relaxed geometry from Alexandria. Energies are from PBE.

Lattice parameters (Å, degrees): 7.8585 7.8585 7.8585 60.00 60.00 60.00
Fractional positions:
Cd 0.7500 0.7500 0.7500
Cd 0.2500 0.2500 0.2500
Ni 0.0000 0.0000 0.0000
Ni 0.6145 0.6145 0.1564
Ni 0.6145 0.6145 0.6145
Ni 0.6145 0.1564 0.6145
Ni 0.1564 0.6145 0.6145
Ni 0.3855 0.3855 0.8436
Ni 0.3855 0.3855 0.3855
Ni 0.3855 0.8436 0.3855
Ni 0.8436 0.3855 0.3855
Ni 0.6532 0.0000 0.3468
Ni 0.0000 0.6532 0.3468
Ni 0.0000 0.0000 0.3468
Ni 0.0000 0.6532 0.0000
Ni 0.6532 0.0000 0.0000
Ni 0.0000 0.0000 0.6532
Ni 0.0000 0.3468 0.0000
Ni 0.0000 0.3468 0.6532
Ni 0.6532 0.3468 0.0000
Ni 0.3468 0.0000 0.6532
Ni 0.3468 0.0000 0.0000
Ni 0.3468 0.6532 0.0000
P 0.2632 0.7368 0.2632
P 0.7368 0.2632 0.2632
P 0.7368 0.7368 0.2632
P 0.7368 0.2632 0.7368
P 0.2632 0.7368 0.7368
P 0.2632 0.2632 0.7368

Values from the calculation:
crystal system = cubic
space-group type = Fm-3m
energy of formation from the pure elements = -36.5 kJ/mol of atoms

Entry 12:
Here is crystalline Hf2MgCo2 at its relaxed geometry from Alexandria. Energies are from PBE.

Lattice parameters (Å, degrees): 7.6160 7.6160 2.9317 90.00 90.00 90.00
Fractional positions:
Co 0.1463 0.6463 0.5000
Co 0.6463 0.8537 0.5000
Co 0.8537 0.3537 0.5000
Co 0.3537 0.1463 0.5000
Mg 0.0000 0.0000 0.0000
Mg 0.5000 0.5000 0.0000
Hf 0.3541 0.8541 0.0000
Hf 0.8541 0.6459 0.0000
Hf 0.6459 0.1459 0.0000
Hf 0.1459 0.3541 0.0000

Values from the calculation:
crystal system = tetragonal
space-group type = P4/mbm
energy of formation from the pure elements = -6.2 kJ/mol of atoms

Entry 13:
Here is crystalline ReNiRu2 at its relaxed geometry from Alexandria. Energies are from PBE.

Lattice parameters (Å, degrees): 4.6805 4.6805 4.6805 132.87 132.87 68.86
Fractional positions:
Ni 0.5000 0.5000 0.0000
Re 0.7500 0.2500 0.5000
Ru 0.0000 0.0000 0.0000
Ru 0.2500 0.7500 0.5000

Values from the calculation:
ΔE to the lowest computed polymorph = 49 meV/atom
crystal system = tetragonal
space-group type = I-4m2
energy of formation from the pure elements = 10.5 kJ/mol of atoms

Entry 14:
Here is crystalline LiHg2Au at its relaxed geometry from Alexandria. Energies are from PBE.

Lattice parameters (Å, degrees): 5.0636 5.0636 5.0636 127.92 127.94 76.73
Fractional positions:
Au 0.7500 0.2500 0.5000
Hg 0.9999 0.9999 0.0000
Hg 0.5001 0.5001 0.0000
Li 0.2500 0.7500 0.5000

Values from the calculation:
crystal system = tetragonal
space-group type = I4/mmm
energy of formation from the pure elements = -22.1 kJ/mol of atoms

Entry 15:
Here is crystalline AcCuSnBi at its relaxed geometry from Alexandria. Energies are from PBE.

Lattice parameters (Å, degrees): 5.4449 5.4449 5.4449 60.00 60.00 60.00
Fractional positions:
Ac 0.0000 0.0000 0.0000
Bi 0.5000 0.5000 0.5000
Cu 0.7500 0.7500 0.7500
Sn 0.2500 0.2500 0.2500

Values from the calculation:
crystal system = cubic
space-group type = F-43m
energy of formation from the pure elements = -12.8 kJ/mol of atoms

Entry 16:
Here is crystalline TaTeBr2 at its relaxed geometry from Alexandria. Energies are from PBE.

Lattice parameters (Å, degrees): 3.2514 5.7802 4.9982 90.00 90.00 90.00
Last column: magnetic moment on the atom in μB.
Fractional positions:
Te 0.0000 0.5000 0.5000  -0.02
Br 0.0000 0.0000 0.0000  -0.02
Br 0.5000 0.5000 0.0000  0.03
Ta 0.5000 0.0000 0.5000  1.10

Values from the calculation:
ΔE to the lowest computed polymorph = 1052 meV/atom
E_form (uncorrected) = 2.4 eV/f.u.
crystal system = orthorhombic
space-group type = Pmmm

Entry 17:
Here is crystalline Li2Cd2F7 at its relaxed geometry from Alexandria. Energies are from PBE.

Lattice parameters (Å, degrees): 5.7037 5.3927 5.3927 84.86 73.18 73.18
Last column: magnetic moment on the atom in μB.
Fractional positions:
Li 0.1149 0.8414 0.3239  0.00
Li 0.1149 0.3239 0.8414  0.00
Cd 0.4861 0.2458 0.2458  0.04
Cd 0.5035 0.7044 0.7044  0.04
F 0.7531 0.9121 0.4038  0.14
F 0.7531 0.4038 0.9121  0.14
F 0.2269 0.5515 0.5515  0.08
F 0.3394 0.0179 0.0179  0.06
F 0.7532 0.4006 0.4006  0.31
F 0.2274 0.0454 0.5531  0.10
F 0.2274 0.5531 0.0454  0.10

Values from the calculation:
ΔE to the lowest computed polymorph = 0 meV/atom
E_form (uncorrected) = -24.2 eV/f.u.
crystal system = monoclinic
space-group type = Cm

Entry 18:
Here is crystalline ThPd4Pb at its relaxed geometry from Alexandria. Energies are from PBE.

Lattice parameters (Å, degrees): 6.2235 7.0460 5.7898 90.00 90.00 108.10
Fractional positions:
Th 0.7248 0.4439 0.7500
Th 0.2752 0.5561 0.2500
Pd 0.2373 0.5213 0.7500
Pd 0.7627 0.4787 0.2500
Pd 0.3037 0.1475 0.7500
Pd 0.6963 0.8525 0.2500
Pd 0.0510 0.8007 0.9927
Pd 0.9490 0.1993 0.4927
Pd 0.0510 0.8007 0.5073
Pd 0.9490 0.1993 0.0073
Pb 0.5824 0.8911 0.7500
Pb 0.4176 0.1089 0.2500

Values from the calculation:
ΔE to the lowest computed polymorph = 9 meV/atom
crystal system = monoclinic
space-group type = P2_1/m
energy of formation from the pure elements = -56.1 kJ/mol of atoms

Entry 19:
Here is crystalline Ce2PmSm6Dy3 at its relaxed geometry from Alexandria. Energies are from PBE.

Lattice parameters (Å, degrees): 6.2203 6.2203 11.9096 95.02 95.02 120.02
Last column: magnetic moment on the atom in μB.
Fractional positions:
Ce 0.3333 0.6667 0.0000  0.77
Ce 0.6667 0.3333 0.0000  0.77
Pm 0.0000 0.0000 0.0000  0.02
Sm 0.9162 0.5797 0.7500  0.00
Sm 0.7473 0.7473 0.2502  0.00
Sm 0.0838 0.4203 0.2500  0.00
Sm 0.5797 0.9162 0.7500  0.00
Sm 0.2527 0.2527 0.7498  0.00
Sm 0.4203 0.0838 0.2500  0.00
Dy 0.1664 0.8336 0.5000  -0.01
Dy 0.8336 0.1664 0.5000  -0.01
Dy 0.5000 0.5000 0.5000  -0.01

Values from the calculation:
crystal system = monoclinic
space-group type = C2/m
energy of formation from the pure elements = 5.2 kJ/mol of atoms

Entry 20:
Here is crystalline TbPmTaN3 at its relaxed geometry from Alexandria. Energies are from PBE.

Lattice parameters (Å, degrees): 3.4677 7.4181 7.9058 91.81 90.00 90.00
Fractional positions:
Tb 0.2500 0.6075 0.1556
Tb 0.7500 0.3925 0.8444
Pm 0.7500 0.8470 0.8413
Pm 0.2500 0.1530 0.1587
Ta 0.2500 0.1216 0.5822
Ta 0.7500 0.8784 0.4178
N 0.2500 0.8283 0.5430
N 0.7500 0.8666 0.1647
N 0.7500 0.3851 0.1244
N 0.7500 0.1717 0.4570
N 0.2500 0.6149 0.8756
N 0.2500 0.1334 0.8353

Values from the calculation:
E_form (uncorrected) = -6.6 eV/f.u.
crystal system = monoclinic
space-group type = P2_1/m

Entry 21:
Here is crystalline MgSb3P at its relaxed geometry from Alexandria. Energies are from PBE.

Lattice parameters (Å, degrees): 5.2331 5.2331 5.2331 90.00 90.00 90.00
Fractional positions:
Sb 0.0000 0.5000 0.0000
Sb 0.0000 0.0000 0.5000
Sb 0.5000 0.0000 0.0000
Mg 0.5000 0.5000 0.5000
P 0.0000 0.0000 0.0000

Values from the calculation:
ΔE to the lowest computed polymorph = 0 meV/atom
E_form (uncorrected) = 2.4 eV/f.u.
crystal system = cubic
space-group type = Pm-3m

Entry 22:
Here is crystalline BaBi2 at its relaxed geometry from Alexandria. Energies are from PBE.

Lattice parameters (Å, degrees): 6.8176 6.8176 6.8176 60.00 60.00 60.00
Fractional positions:
Bi 0.1250 0.6250 0.6250
Bi 0.6250 0.1250 0.6250
Bi 0.6250 0.6250 0.6250
Bi 0.6250 0.6250 0.1250
Ba 0.0000 0.0000 0.0000
Ba 0.2500 0.2500 0.2500

Values from the calculation:
crystal system = cubic
space-group type = Fd-3m
energy of formation from the pure elements = -55.3 kJ/mol of atoms

Entry 23:
Here is crystalline ZrIrW2 at its relaxed geometry from Alexandria. Energies are from PBE.

Lattice parameters (Å, degrees): 5.0326 5.0326 5.1148 80.66 80.66 32.63
Fractional positions:
Ir 0.7332 0.7332 0.7189
W 0.0222 0.0222 0.0274
W 0.2628 0.2628 0.2146
Zr 0.4818 0.4818 0.5392

Values from the calculation:
ΔE to the lowest computed polymorph = 191 meV/atom
crystal system = monoclinic
space-group type = Cm
energy of formation from the pure elements = 6.0 kJ/mol of atoms